1.
The following is a DFT calculation (GGA-PBE) of a geometry-optimized Ce8AlGa2 structure.

abc: 5.4998 8.3269 7.9920
angles: 58.60 79.67 69.86
Each line ends with the local moment (μB).
Fractional positions:
Ce  0.6635  0.5973  0.0000  0.54
Ce  0.0715  0.9258  0.7935  0.31
Ce  0.0715  0.7193  0.2065  0.31
Ce  0.9285  0.0742  0.2065  0.31
Ce  0.3365  0.4027  0.0000  0.54
Ce  0.5000  0.2308  0.5384  0.72
Ce  0.5000  0.7692  0.4616  0.72
Ce  0.9285  0.2807  0.7935  0.31
Ga  0.0000  0.3107  0.3786  -0.01
Ga  0.0000  0.6893  0.6214  -0.01
Al  0.5000  0.0000  0.0000  -0.01

Summary:
Raw total energy: -5.37 eV per atom
Offset from the most stable computed form: 45.0 meV per atom

---

2.
The following is a DFT calculation (GGA-PBE) of a geometry-optimized ReAgAs2 structure.

abc: 2.8494 2.8494 10.1832
angles: 90.00 90.00 115.07
Fractional positions:
Ag  0.5000  0.5000  0.7371
Re  0.0000  0.0000  0.4944
As  0.0000  0.0000  0.9668
As  0.5000  0.5000  0.3017

Summary:
Raw total energy: -5.68 eV per atom
Offset from the most stable computed form: 317.1 meV per atom

---

3.
The following is a DFT calculation (GGA-PBE) of a geometry-optimized DyIn2Pd2 structure.

abc: 4.7132 5.3645 8.9808
angles: 106.83 90.00 90.00
Fractional positions:
Pd  0.7500  0.0976  0.4050
Pd  0.2500  0.3251  0.9594
Pd  0.7500  0.6749  0.0406
Pd  0.2500  0.9024  0.5950
Dy  0.2500  0.7938  0.2380
Dy  0.7500  0.2062  0.7620
In  0.7500  0.6335  0.4622
In  0.2500  0.7851  0.8754
In  0.7500  0.2149  0.1246
In  0.2500  0.3665  0.5378

Summary:
Raw total energy: -4.76 eV per atom
Offset from the most stable computed form: 0.0 meV per atom

---

4.
The following is a DFT calculation (GGA-PBE) of a geometry-optimized PrNdSi2 structure.

abc: 4.4862 3.9529 5.9510
angles: 90.00 112.12 90.00
Fractional positions:
Nd  0.7223  0.0000  0.9844
Si  0.1543  0.5000  0.8476
Si  0.0120  0.0000  0.5631
Pr  0.4424  0.5000  0.4229

Summary:
Raw total energy: -5.85 eV per atom
Energy relative to the elements, uncorrected: -0.749 eV per atom